Entry 1:
DFT (GGA-PBE) results for a relaxed Sr2MgInHg6 crystal.

a b c (Å): 5.822 7.275 7.461
angles (deg): 85.10 71.49 75.13
Space group P-1 (No. 2)
Asymmetric unit:
Sr1 0.009 0.278 0.251 x2
Mg1 0.500 0.000 0.500 x1
In1 0.500 0.500 0.000 x1
Hg1 0.001 0.778 0.277 x2
Hg2 0.358 0.923 0.903 x2
Hg3 0.496 0.346 0.651 x2

Values from the calculation:
ΔH_f (0 K): -272 meV/atom
E_tot: -0.0449 hartree per atom
Size of the total moment: 0.000 μB per atom
DOS(E_F): 5.59 states/eV/f.u.
V: 289.64 Å³/cell

***

Entry 2:
DFT (GGA-PBE) results for a relaxed ThBe5Fe7 crystal.

a b c (Å): 4.482 8.008 8.160
angles (deg): 90.00 90.00 90.00
Space group Imm2 (No. 44)
Asymmetric unit:
Th1 0.000 0.000 0.000 x2
Be1 0.000 0.500 0.256 x2
Be2 0.250 0.246 0.752 x8
Fe1 0.000 0.000 0.357 x2
Fe2 0.000 0.000 0.640 x2
Fe3 0.000 0.273 0.502 x4
Fe4 0.000 0.357 0.999 x4
Fe5 0.000 0.500 0.732 x2

Values from the calculation:
ΔH_f (0 K): -124 meV/atom
E_tot: -0.2457 hartree per atom
Size of the total moment: 0.946 μB per atom
DOS(E_F): 9.26 states/eV/f.u.
V: 292.89 Å³/cell

***

Entry 3:
DFT (GGA-PBE) results for a relaxed Ac2Pm7Er4 crystal.

a b c (Å): 6.3014 6.3014 13.2484
angles (deg): 90.00 90.00 120.00
Space group P-31m (No. 162)
Asymmetric unit:
Ac1 0.3333 0.6667 0.0000 x2
Pm1 0.0000 0.0000 0.0000 x1
Pm2 0.0000 0.3714 0.7705 x6
Er1 0.0000 0.0000 0.3938 x2
Er2 0.3333 0.6667 0.5000 x2

Values from the calculation:
ΔH_f (0 K): 216 meV/atom
E_tot: -0.1609 hartree per atom
Size of the total moment: 0.000 μB per atom
DOS(E_F): 19.04 states/eV/f.u.
V: 455.58 Å³/cell

***

Entry 4:
DFT (GGA-PBE) results for a relaxed InFe4Sn crystal.

a b c (Å): 7.077 7.077 7.077
angles (deg): 90.00 90.00 90.00
Space group F-43m (No. 216)
Asymmetric unit:
In1 0.000 0.000 0.000 x4
Fe1 0.125 0.125 0.625 x16
Sn1 0.250 0.250 0.250 x4

Values from the calculation:
ΔH_f (0 K): 154 meV/atom
E_tot: -0.2430 hartree per atom
Size of the total moment: 1.439 μB per atom
DOS(E_F): 4.74 states/eV/f.u.
V: 354.44 Å³/cell

***

Entry 5:
DFT (GGA-PBE) results for a relaxed Ca2ZnSn3Pt4 crystal.

a b c (Å): 4.263 4.263 11.840
angles (deg): 90.00 90.00 90.00
Space group P-4m2 (No. 115)
Asymmetric unit:
Ca1 0.000 0.500 0.237 x2
Zn1 0.500 0.500 0.000 x1
Sn1 0.000 0.000 0.000 x1
Sn2 0.000 0.500 0.638 x2
Pt1 0.000 0.000 0.500 x1
Pt2 0.000 0.500 0.861 x2
Pt3 0.500 0.500 0.500 x1

Values from the calculation:
ΔH_f (0 K): -724 meV/atom
E_tot: -0.1789 hartree per atom
Size of the total moment: 0.000 μB per atom
DOS(E_F): 5.96 states/eV/f.u.
V: 215.19 Å³/cell